Record 1
LiPm2NdAu4 | Alexandria | GGA-PBE | optimized geometry; DFT formation energy = -0.7167 eV/atom; SG = No. 166; crystal system = trigonal; E = -4.38 eV per atom
1.0
5.129 0.000 0.000
2.564 4.442 0.000
2.564 1.481 8.364
Nd Pm Au Li
1 2 4 1
direct
0.000 0.000 0.000
0.758 0.758 0.726
0.242 0.242 0.274
0.625 0.625 0.126
0.375 0.375 0.874
0.879 0.879 0.363
0.121 0.121 0.637
0.500 0.500 0.500


Record 2
Li2PmNdAu2 | Alexandria | GGA-PBE | optimized geometry; DFT formation energy = -0.5264 eV/atom; SG = No. 164; crystal system = trigonal; E = -3.84 eV per atom
1.0
4.663 0.000 0.000
-2.332 4.038 0.000
0.000 0.000 7.086
Au Nd Pm Li
2 1 1 2
direct
0.333 0.667 0.246
0.667 0.333 0.754
0.000 0.000 0.500
0.000 0.000 0.000
0.667 0.333 0.245
0.333 0.667 0.755


Record 3
Li2PrNdAu4 | Alexandria | GGA-PBE | optimized geometry; DFT formation energy = -0.6978 eV/atom; SG = No. 166; crystal system = trigonal; E = -4.01 eV per atom
1.0
4.613 0.000 0.000
2.307 3.995 0.000
2.307 1.332 9.549
Au Li Pr Nd
4 2 1 1
direct
0.891 0.891 0.328
0.608 0.608 0.175
0.109 0.109 0.672
0.392 0.392 0.825
0.249 0.249 0.252
0.751 0.751 0.748
0.000 0.000 0.000
0.500 0.500 0.500


Record 4
LiPrNdAu | Alexandria | GGA-PBE | optimized geometry; DFT formation energy = -0.3207 eV/atom; SG = No. 216; crystal system = cubic; E = -4.01 eV per atom
1.0
5.299 0.000 0.000
2.650 4.589 0.000
2.650 1.530 4.327
Au Nd Li Pr
1 1 1 1
direct
0.000 0.000 0.000
0.250 0.250 0.250
0.500 0.500 0.500
0.750 0.750 0.750